1.
Computed, not measured: LiPmPrAg after structural relaxation at the PBE-GGA level of DFT.

Results
DOS(E_F): 20.007 states/eV/cell
calculated total energy: -3.63 eV/atom

abc: 7.5482 7.5482 7.5482
angles: 90.00 90.00 90.00
Sites, in units of the cell vectors:
Li: 0.0000 0.0000 0.0000
Li: 0.0000 0.5000 0.5000
Li: 0.5000 0.0000 0.5000
Li: 0.5000 0.5000 0.0000
Pm: 0.2500 0.2500 0.7500
Pm: 0.2500 0.7500 0.2500
Pm: 0.7500 0.2500 0.2500
Pm: 0.7500 0.7500 0.7500
Pr: 0.2500 0.2500 0.2500
Pr: 0.2500 0.7500 0.7500
Pr: 0.7500 0.2500 0.7500
Pr: 0.7500 0.7500 0.2500
Ag: 0.0000 0.0000 0.5000
Ag: 0.0000 0.5000 0.0000
Ag: 0.5000 0.0000 0.0000
Ag: 0.5000 0.5000 0.5000

***

2.
Computed, not measured: TbPmDy after structural relaxation at the PBE-GGA level of DFT.

Results
DOS(E_F): 9.519 states/eV/cell
calculated total energy: -4.60 eV/atom

abc: 3.5273 5.3486 10.5006
angles: 90.00 99.69 90.00
Sites, in units of the cell vectors:
Tb: 0.1244 0.2500 0.2446
Tb: 0.8756 0.7500 0.7554
Pm: 0.4552 0.2500 0.9120
Pm: 0.5448 0.7500 0.0880
Dy: 0.2904 0.2500 0.5844
Dy: 0.7096 0.7500 0.4156

***

3.
Computed, not measured: UI4Cl after structural relaxation at the PBE-GGA level of DFT.

Results
DOS(E_F): 3.691 states/eV/cell
formation energy from raw total energies: -0.89 eV/atom

abc: 10.7759 10.7759 5.3702
angles: 90.00 90.00 90.00
Sites, in units of the cell vectors:
U: 0.0000 0.0000 0.0000
U: 0.5000 0.5000 0.5000
I: 0.0688 0.2583 0.0000
I: 0.2417 0.5688 0.5000
I: 0.2583 0.9312 0.0000
I: 0.4312 0.2417 0.5000
I: 0.5688 0.7583 0.5000
I: 0.7417 0.0688 0.0000
I: 0.7583 0.4312 0.5000
I: 0.9312 0.7417 0.0000
Cl: 0.0000 0.0000 0.5000
Cl: 0.5000 0.5000 0.0000

***

4.
Computed, not measured: Be2RhBr after structural relaxation at the PBE-GGA level of DFT.

Results
DOS(E_F): 2.509 states/eV/cell
formation energy from raw total energies: 0.51 eV/atom

abc: 3.7417 3.7417 7.5301
angles: 90.00 90.00 90.00
Sites, in units of the cell vectors:
Be: 0.0000 0.5000 0.2500
Be: 0.0000 0.5000 0.7500
Be: 0.5000 0.0000 0.2500
Be: 0.5000 0.0000 0.7500
Rh: 0.0000 0.0000 0.0000
Rh: 0.5000 0.5000 0.5000
Br: 0.0000 0.0000 0.5000
Br: 0.5000 0.5000 0.0000

***

5.
Computed, not measured: Cs2RuI2F4 after structural relaxation at the PBE-GGA level of DFT.

Results
DOS(E_F): 6.147 states/eV/cell
formation energy from raw total energies: -1.75 eV/atom

abc: 7.0680 7.0680 7.0680
angles: 114.69 114.69 99.48
Sites, in units of the cell vectors:
Cs: 0.2500 0.7500 0.5000
Cs: 0.7500 0.2500 0.5000
Ru: 0.0000 0.0000 0.0000
I: 0.2971 0.2971 0.0000
I: 0.7029 0.7029 0.0000
F: 0.1821 0.1821 0.3642
F: 0.1821 0.8179 0.0000
F: 0.8179 0.1821 0.0000
F: 0.8179 0.8179 0.6358

***

6.
Computed, not measured: CsKBi2 after structural relaxation at the PBE-GGA level of DFT.

Results
DOS(E_F): 2.460 states/eV/cell
calculated total energy: -2.65 eV/atom

abc: 5.0933 5.0933 5.9488
angles: 90.00 90.00 90.00
Sites, in units of the cell vectors:
Cs: 0.0000 0.0000 0.0000
K: 0.5000 0.5000 0.0000
Bi: 0.0000 0.5000 0.5000
Bi: 0.5000 0.0000 0.5000

***

7.
Computed, not measured: Dy4Y8Ho after structural relaxation at the PBE-GGA level of DFT.

Results
DOS(E_F): 16.511 states/eV/cell
calculated total energy: -5.53 eV/atom

abc: 10.0952 10.0952 10.0952
angles: 42.29 42.29 42.29
Sites, in units of the cell vectors:
Dy: 0.0000 0.0000 0.0000
Dy: 0.0000 0.5000 0.5000
Dy: 0.5000 0.0000 0.5000
Dy: 0.5000 0.5000 0.0000
Y: 0.2002 0.7498 0.7498
Y: 0.2149 0.2149 0.2149
Y: 0.2502 0.2502 0.7998
Y: 0.2502 0.7998 0.2502
Y: 0.7498 0.2002 0.7498
Y: 0.7498 0.7498 0.2002
Y: 0.7851 0.7851 0.7851
Y: 0.7998 0.2502 0.2502
Ho: 0.5000 0.5000 0.5000

***

8.
Computed, not measured: K2CdSb after structural relaxation at the PBE-GGA level of DFT.

Results
DOS(E_F): 9.548 states/eV/cell
formation energy from raw total energies: 0.05 eV/atom

abc: 5.0195 5.0195 23.7334
angles: 90.00 90.00 90.00
Sites, in units of the cell vectors:
K: 0.2486 0.2500 0.1250
K: 0.2500 0.7486 0.3750
K: 0.2500 0.7514 0.8750
K: 0.2514 0.2500 0.6250
K: 0.7486 0.7500 0.6250
K: 0.7500 0.2486 0.8750
K: 0.7500 0.2514 0.3750
K: 0.7514 0.7500 0.1250
Cd: 0.0000 0.0000 0.5000
Cd: 0.0000 0.5000 0.7500
Cd: 0.5000 0.0000 0.2500
Cd: 0.5000 0.5000 0.0000
Sb: 0.0000 0.0000 0.0000
Sb: 0.0000 0.5000 0.2500
Sb: 0.5000 0.0000 0.7500
Sb: 0.5000 0.5000 0.5000